1.
# BeBrN2F, relaxed, DFT PBE
# V ... 64 Å³/cell
# Excess energy over the best structure of this formula in the dataset ... 26.46 kcal/mol of atoms
# Raw total energy ... -14.228 eV per cell
# N(E_F) ... 2.7 states/eV per cell
# Uncorrected formation energy ... 1.939 eV/atom
data_BeBrN2F
_chemical_formula_sum 'Be1 Br1 N2 F1'
_symmetry_space_group_name_H-M 'P 1'
_symmetry_Int_Tables_number 1
_cell_length_a 3.862
_cell_length_b 3.862
_cell_length_c 4.258
_cell_angle_alpha 90.00
_cell_angle_beta 90.00
_cell_angle_gamma 90.00
loop_
_symmetry_equiv_pos_as_xyz
'x,y,z'
loop_
_atom_site_label
_atom_site_fract_x
_atom_site_fract_y
_atom_site_fract_z
_atom_site_occupancy
Be1 0.500 0.500 0.500 1
N1 0.500 0.000 0.000 1
N2 0.000 0.500 0.000 1
Br1 0.000 0.000 0.000 1
F1 0.000 0.000 0.500 1

2.
# BeBrO2F, relaxed, DFT PBE
# V ... 48 Å³/cell
# Raw total energy ... -20.183 eV per cell
# N(E_F) ... 3.1 states/eV per cell
# Uncorrected formation energy ... -0.599 eV/atom
data_BeBrO2F
_chemical_formula_sum 'Be1 Br1 O2 F1'
_symmetry_space_group_name_H-M 'P 1'
_symmetry_Int_Tables_number 1
_cell_length_a 3.831
_cell_length_b 3.831
_cell_length_c 3.268
_cell_angle_alpha 90.00
_cell_angle_beta 90.00
_cell_angle_gamma 90.00
loop_
_symmetry_equiv_pos_as_xyz
'x,y,z'
loop_
_atom_site_label
_atom_site_fract_x
_atom_site_fract_y
_atom_site_fract_z
_atom_site_occupancy
Be1 0.000 0.000 0.000 1
Br1 0.500 0.500 0.500 1
O1 0.000 0.500 0.000 1
O2 0.500 0.000 0.000 1
F1 0.000 0.000 0.500 1

3.
# BeBrO2F, relaxed, DFT PBE
# V ... 74 Å³/cell
# Raw total energy ... -14.337 eV per cell
# N(E_F) ... 1.8 states/eV per cell
# Uncorrected formation energy ... 0.570 eV/atom
data_BeBrO2F
_chemical_formula_sum 'Be1 Br1 O2 F1'
_symmetry_space_group_name_H-M 'P 1'
_symmetry_Int_Tables_number 1
_cell_length_a 3.767
_cell_length_b 3.767
_cell_length_c 5.187
_cell_angle_alpha 90.00
_cell_angle_beta 90.00
_cell_angle_gamma 90.00
loop_
_symmetry_equiv_pos_as_xyz
'x,y,z'
loop_
_atom_site_label
_atom_site_fract_x
_atom_site_fract_y
_atom_site_fract_z
_atom_site_occupancy
F1 0.000 0.000 0.500 1
O1 0.000 0.500 0.000 1
O2 0.500 0.000 0.000 1
Br1 0.000 0.000 0.000 1
Be1 0.500 0.500 0.500 1

4.
# BePbBr2F, relaxed, DFT PBE
# V ... 162 Å³/cell
# Raw total energy ... -14.206 eV per cell
# N(E_F) ... 1.1 states/eV per cell
# Uncorrected formation energy ... -0.311 eV/atom
data_BePbBr2F
_chemical_formula_sum 'Be1 Pb1 Br2 F1'
_symmetry_space_group_name_H-M 'P 1'
_symmetry_Int_Tables_number 1
_cell_length_a 5.941
_cell_length_b 4.604
_cell_length_c 5.941
_cell_angle_alpha 90.00
_cell_angle_beta 90.00
_cell_angle_gamma 90.00
loop_
_symmetry_equiv_pos_as_xyz
'x,y,z'
loop_
_atom_site_label
_atom_site_fract_x
_atom_site_fract_y
_atom_site_fract_z
_atom_site_occupancy
Pb1 0.000 0.000 0.000 1
F1 0.000 0.500 0.000 1
Br1 0.500 0.000 0.000 1
Br2 0.000 0.000 0.500 1
Be1 0.500 0.500 0.500 1

5.
# Rb2BeBr6F, relaxed, DFT PBE
# V ... 326 Å³/cell
# Raw total energy ... -26.445 eV per cell
# N(E_F) ... 1.2 states/eV per cell
# Uncorrected formation energy ... -0.888 eV/atom
data_Rb2BeBr6F
_chemical_formula_sum 'Rb2 Be1 Br6 F1'
_symmetry_space_group_name_H-M 'P 1'
_symmetry_Int_Tables_number 1
_cell_length_a 7.796
_cell_length_b 7.796
_cell_length_c 7.686
_cell_angle_alpha 59.52
_cell_angle_beta 59.52
_cell_angle_gamma 90.00
loop_
_symmetry_equiv_pos_as_xyz
'x,y,z'
loop_
_atom_site_label
_atom_site_fract_x
_atom_site_fract_y
_atom_site_fract_z
_atom_site_occupancy
Be1 0.500 0.500 0.000 1
Br1 0.295 0.295 0.000 1
Br2 0.203 0.203 0.595 1
Rb1 0.750 0.250 0.500 1
Br3 0.705 0.295 0.000 1
F1 0.000 0.000 0.000 1
Br4 0.705 0.705 0.000 1
Br5 0.295 0.705 0.000 1
Br6 0.797 0.797 0.405 1
Rb2 0.250 0.750 0.500 1

6.
# BeSeBr2F, relaxed, DFT PBE
# V ... 121 Å³/cell
# Excess energy over the best structure of this formula in the dataset ... 12.62 kcal/mol of atoms
# Raw total energy ... -9.642 eV per cell
# N(E_F) ... 3.9 states/eV per cell
# Uncorrected formation energy ... 0.557 eV/atom
data_BeSeBr2F
_chemical_formula_sum 'Be1 Se1 Br2 F1'
_symmetry_space_group_name_H-M 'P 1'
_symmetry_Int_Tables_number 1
_cell_length_a 5.577
_cell_length_b 5.577
_cell_length_c 3.886
_cell_angle_alpha 90.00
_cell_angle_beta 90.00
_cell_angle_gamma 90.00
loop_
_symmetry_equiv_pos_as_xyz
'x,y,z'
loop_
_atom_site_label
_atom_site_fract_x
_atom_site_fract_y
_atom_site_fract_z
_atom_site_occupancy
F1 0.000 0.000 0.000 1
Be1 0.500 0.500 0.500 1
Br1 0.000 0.500 0.000 1
Se1 0.000 0.000 0.500 1
Br2 0.500 0.000 0.000 1

7.
# BeSe2BrF, relaxed, DFT PBE
# V ... 114 Å³/cell
# Excess energy over the best structure of this formula in the dataset ... 11.21 kcal/mol of atoms
# Raw total energy ... -11.318 eV per cell
# N(E_F) ... 4.6 states/eV per cell
# Uncorrected formation energy ... 0.584 eV/atom
data_BeSe2BrF
_chemical_formula_sum 'Be1 Se2 Br1 F1'
_symmetry_space_group_name_H-M 'P 1'
_symmetry_Int_Tables_number 1
_cell_length_a 4.253
_cell_length_b 4.253
_cell_length_c 6.301
_cell_angle_alpha 90.00
_cell_angle_beta 90.00
_cell_angle_gamma 90.00
loop_
_symmetry_equiv_pos_as_xyz
'x,y,z'
loop_
_atom_site_label
_atom_site_fract_x
_atom_site_fract_y
_atom_site_fract_z
_atom_site_occupancy
Se1 0.000 0.500 0.000 1
F1 0.000 0.000 0.000 1
Be1 0.500 0.500 0.500 1
Se2 0.500 0.000 0.000 1
Br1 0.000 0.000 0.500 1

8.
# BeSeBr2F, relaxed, DFT PBE
# V ... 101 Å³/cell
# Excess energy over the best structure of this formula in the dataset ... 0.00 kcal/mol of atoms
# Raw total energy ... -12.380 eV per cell
# N(E_F) ... 4.8 states/eV per cell
# Uncorrected formation energy ... 0.010 eV/atom
data_BeSeBr2F
_chemical_formula_sum 'Be1 Se1 Br2 F1'
_symmetry_space_group_name_H-M 'P 1'
_symmetry_Int_Tables_number 1
_cell_length_a 4.664
_cell_length_b 4.664
_cell_length_c 4.659
_cell_angle_alpha 90.00
_cell_angle_beta 90.00
_cell_angle_gamma 90.00
loop_
_symmetry_equiv_pos_as_xyz
'x,y,z'
loop_
_atom_site_label
_atom_site_fract_x
_atom_site_fract_y
_atom_site_fract_z
_atom_site_occupancy
Br1 0.000 0.500 0.000 1
Br2 0.500 0.000 0.000 1
F1 0.500 0.500 0.500 1
Se1 0.000 0.000 0.500 1
Be1 0.000 0.000 0.000 1